VASP calculation (PBE+U) on a relaxed structure of VP2IrO.

Output
N(E_F) ... 5.04 states/eV/f.u.
Spin magnetization ... 0.000 μB/cell
Energy ... -6.053 eV/atom
Volume ... 76 Å³/cell

Cell: 4.674 4.674 3.482 Å, 90.00 90.00 90.00°
Space group P4/mmm (No. 123)
Symmetry-distinct sites (fractional):
V 0.000 0.000 0.000
P 0.000 0.500 0.000
Ir 0.500 0.500 0.500
O 0.000 0.000 0.500